Here is an optimized crystal structure of DyHo2Al2 from Alexandria via LeMat-Bulk. Energies are from PBE.

Output
Its formation energy is -0.1349 eV/atom. For the uncorrected energy, the calculation gives -0.3222 Ry per atom. The calculated volume is 265.0 Å³ per cell. For the mass density, the calculation gives 6.85 g/cm3. The energy above the lowest structure with this stoichiometry is 0.182 eV/atom.

Geometry as CIF:
```
data_DyHo2Al2
_symmetry_space_group_name_H-M 'P 1'
_symmetry_Int_Tables_number 1
_cell_length_a 3.5763
_cell_length_b 5.5767
_cell_length_c 13.3629
_cell_angle_alpha 96.03
_cell_angle_beta 90.00
_cell_angle_gamma 90.00
loop_
_symmetry_equiv_pos_as_xyz
'x,y,z'
loop_
_atom_site_label
_atom_site_fract_x
_atom_site_fract_y
_atom_site_fract_z
Dy1 0.7500 0.3168 0.7642
Dy2 0.2500 0.6832 0.2358
Ho1 0.7500 0.7407 0.4615
Ho2 0.7500 0.1540 0.1123
Ho3 0.2500 0.2593 0.5385
Ho4 0.2500 0.8460 0.8877
Al1 0.7500 0.6510 0.0440
Al2 0.2500 0.3490 0.9560
Al3 0.2500 0.7918 0.6590
Al4 0.7500 0.2082 0.3410
```